Record 1
Compound: Nb4In
Source: the Alexandria database
Functional: GGA-PBE
Structure: optimized geometry

Structure (CIF):
```
data_Nb4In
_chemical_formula_sum 'Nb4 In1'
_cell_length_a 4.966
_cell_length_b 4.966
_cell_length_c 4.966
_cell_angle_alpha 90.00
_cell_angle_beta 90.00
_cell_angle_gamma 90.00
_space_group_name_H-M_alt 'P 1'
_space_group_IT_number 1
_space_group_name_Hall 'P 1'
loop_
_atom_site_label
_atom_site_type_symbol
_atom_site_fract_x
_atom_site_fract_y
_atom_site_fract_z
Nb1 Nb 0.000 0.000 0.000
Nb2 Nb 0.500 0.000 0.500
Nb3 Nb 0.000 0.500 0.500
Nb4 Nb 0.500 0.500 0.000
In1 In 0.500 0.500 0.500
```

Output
Total DFT energy (no corrections)   -33.213 eV/f.u.
Volume   122.5 Å³ per cell
Symmetry   No. 221
Energy above the lowest structure with this stoichiometry   1.7639 eV per atom
Total magnetization   0.00 μB per cell

---

Record 2
Compound: MnPt2Br
Source: the Alexandria database
Functional: GGA-PBE
Structure: optimized geometry

Structure (CIF):
```
data_MnPt2Br
_chemical_formula_sum 'Mn2 Pt4 Br2'
_cell_length_a 7.475
_cell_length_b 7.475
_cell_length_c 5.905
_cell_angle_alpha 50.73
_cell_angle_beta 50.73
_cell_angle_gamma 90.00
_space_group_name_H-M_alt 'P 1'
_space_group_IT_number 1
_space_group_name_Hall 'P 1'
loop_
_atom_site_label
_atom_site_type_symbol
_atom_site_fract_x
_atom_site_fract_y
_atom_site_fract_z
Mn1 Mn 0.500 0.500 0.000
Mn2 Mn 0.250 0.750 0.500
Br1 Br 0.000 0.000 0.000
Br2 Br 0.750 0.250 0.500
Pt1 Pt 0.595 0.125 0.250
Pt2 Pt 0.155 0.625 0.250
Pt3 Pt 0.375 0.405 0.750
Pt4 Pt 0.875 0.845 0.750
```

Output
ΔE_f (raw)   0.35 eV/atom
Total DFT energy (no corrections)   -21.538 eV/f.u.
Volume   147.1 Å³ per cell
Symmetry   No. 122
Energy above the lowest structure with this stoichiometry   0.2967 eV per atom
Total magnetization   8.02 μB per cell

---

Record 3
Compound: ErMnGe
Source: the Alexandria database
Functional: GGA-PBE
Structure: optimized geometry

Structure (CIF):
```
data_ErMnGe
_chemical_formula_sum 'Er1 Mn1 Ge1'
_cell_length_a 3.686
_cell_length_b 4.305
_cell_length_c 4.305
_cell_angle_alpha 120.00
_cell_angle_beta 90.00
_cell_angle_gamma 90.00
_space_group_name_H-M_alt 'P 1'
_space_group_IT_number 1
_space_group_name_Hall 'P 1'
loop_
_atom_site_label
_atom_site_type_symbol
_atom_site_fract_x
_atom_site_fract_y
_atom_site_fract_z
Ge1 Ge 0.166 0.000 0.000
Mn1 Mn 0.167 0.667 0.333
Er1 Er 0.667 0.333 0.667
```

Output
Total DFT energy (no corrections)   -19.487 eV/f.u.
Volume   59.2 Å³ per cell
Symmetry   No. 187
Total magnetization   3.35 μB per cell

---

Record 4
Compound: NaMgIn3Sn
Source: the Alexandria database
Functional: GGA-PBE
Structure: optimized geometry

Structure (CIF):
```
data_NaMgIn3Sn
_chemical_formula_sum 'Na2 Mg2 In6 Sn2'
_cell_length_a 4.356
_cell_length_b 7.957
_cell_length_c 9.854
_cell_angle_alpha 113.81
_cell_angle_beta 90.00
_cell_angle_gamma 90.00
_space_group_name_H-M_alt 'P 1'
_space_group_IT_number 1
_space_group_name_Hall 'P 1'
loop_
_atom_site_label
_atom_site_type_symbol
_atom_site_fract_x
_atom_site_fract_y
_atom_site_fract_z
Na1 Na 0.250 0.625 0.129
Na2 Na 0.750 0.375 0.871
Mg1 Mg 0.250 0.120 0.292
Mg2 Mg 0.750 0.880 0.708
In1 In 0.750 0.881 0.042
In2 In 0.250 0.119 0.958
In3 In 0.250 0.623 0.460
In4 In 0.750 0.377 0.540
In5 In 0.750 0.363 0.210
In6 In 0.250 0.637 0.790
Sn1 Sn 0.250 0.127 0.615
Sn2 Sn 0.750 0.873 0.385
```

Output
Total DFT energy (no corrections)   -15.552 eV/f.u.
Volume   312.5 Å³ per cell
Symmetry   No. 11
Total magnetization   0.00 μB per cell

---

Record 5
Compound: AuSeBr2
Source: the Alexandria database
Functional: GGA-PBE
Structure: optimized geometry

Structure (CIF):
```
data_AuSeBr2
_chemical_formula_sum 'Au1 Se1 Br2'
_cell_length_a 5.030
_cell_length_b 5.030
_cell_length_c 5.030
_cell_angle_alpha 60.00
_cell_angle_beta 60.00
_cell_angle_gamma 60.00
_space_group_name_H-M_alt 'P 1'
_space_group_IT_number 1
_space_group_name_Hall 'P 1'
loop_
_atom_site_label
_atom_site_type_symbol
_atom_site_fract_x
_atom_site_fract_y
_atom_site_fract_z
Au1 Au 0.500 0.500 0.500
Br1 Br 0.000 0.000 0.000
Br2 Br 0.750 0.750 0.750
Se1 Se 0.250 0.250 0.250
```

Output
ΔE_f (raw)   0.64 eV/atom
Total DFT energy (no corrections)   -7.538 eV/f.u.
Volume   90.0 Å³ per cell
Symmetry   No. 216
Energy above the lowest structure with this stoichiometry   0.6880 eV per atom
Total magnetization   0.00 μB per cell

---

Record 6
Compound: TiReN3
Source: the Alexandria database
Functional: GGA-PBE
Structure: optimized geometry

Structure (CIF):
```
data_TiReN3
_chemical_formula_sum 'Ti2 Re2 N6'
_cell_length_a 5.647
_cell_length_b 5.647
_cell_length_c 5.695
_cell_angle_alpha 90.00
_cell_angle_beta 90.00
_cell_angle_gamma 139.42
_space_group_name_H-M_alt 'P 1'
_space_group_IT_number 1
_space_group_name_Hall 'P 1'
loop_
_atom_site_label
_atom_site_type_symbol
_atom_site_fract_x
_atom_site_fract_y
_atom_site_fract_z
Re1 Re 0.117 0.883 0.250
Re2 Re 0.883 0.117 0.750
N1 N 0.930 0.404 0.250
N2 N 0.596 0.070 0.250
N3 N 0.404 0.930 0.750
N4 N 0.070 0.596 0.750
N5 N 0.000 0.000 0.000
N6 N 0.000 0.000 0.500
Ti1 Ti 0.391 0.609 0.250
Ti2 Ti 0.609 0.391 0.750
```

Output
ΔE_f (raw)   0.03 eV/atom
Total DFT energy (no corrections)   -45.182 eV/f.u.
Volume   118.1 Å³ per cell
Symmetry   No. 63
Total magnetization   0.00 μB per cell

---

> Among the records above, which one has the lowest volume?

ErMnGe